VASP calculation (PBE-GGA) on a relaxed structure of LiZr2Br.

Cell: 4.0194 4.0194 5.6373 Å, 90.00 90.00 90.00°
Space group P4/mmm (No. 123)
Unique sites:
Li1 0.0000 0.0000 0.0000
Zr1 0.0000 0.5000 0.5000
Br1 0.5000 0.5000 0.0000

Excess energy over the best structure of this formula in the dataset ... 0.519 eV/atom



VASP calculation (PBE-GGA) on a relaxed structure of InCu2Cl.

Cell: 6.7883 6.7883 6.7883 Å, 90.00 90.00 90.00°
Space group F-43m (No. 216)
Unique sites:
In1 0.0000 0.0000 0.0000
Cu1 0.0000 0.0000 0.5000
Cu2 0.2500 0.2500 0.7500
Cl1 0.2500 0.2500 0.2500

Excess energy over the best structure of this formula in the dataset ... 0.497 eV/atom



VASP calculation (PBE-GGA) on a relaxed structure of Na3CoRe.

Cell: 5.2101 5.2101 5.2101 Å, 90.00 90.00 90.00°
Space group Pm-3m (No. 221)
Unique sites:
Na1 0.0000 0.0000 0.5000
Co1 0.0000 0.0000 0.0000
Re1 0.5000 0.5000 0.5000

Formation energy from the elements ... 9.3 eV per formula unit



VASP calculation (PBE-GGA) on a relaxed structure of Nb3TlSi.

Cell: 4.7175 4.7175 4.7175 Å, 90.00 90.00 90.00°
Space group Pm-3m (No. 221)
Unique sites:
Nb1 0.0000 0.0000 0.5000
Tl1 0.5000 0.5000 0.5000
Si1 0.0000 0.0000 0.0000

Excess energy over the best structure of this formula in the dataset ... 0.000 eV/atom



VASP calculation (PBE-GGA) on a relaxed structure of Cs3PmCl6.

Cell: 14.1119 8.2905 8.4643 Å, 90.00 122.94 90.00°
Space group C2/m (No. 12)
Unique sites:
Cs1 0.0000 0.0000 0.0000
Cs2 0.2433 0.0000 0.7212
Pm1 0.0000 0.5000 0.5000
Cl1 0.0682 0.2687 0.3524
Cl2 0.2110 0.5000 0.8245

Excess energy over the best structure of this formula in the dataset ... 0.007 eV/atom



VASP calculation (PBE-GGA) on a relaxed structure of MnHg2Rh.

Cell: 4.1843 4.1843 4.0445 Å, 90.00 90.00 90.00°
Space group P4/mmm (No. 123)
Unique sites:
Mn1 0.0000 0.0000 0.0000
Hg1 0.0000 0.5000 0.5000
Rh1 0.5000 0.5000 0.0000

Excess energy over the best structure of this formula in the dataset ... 0.085 eV/atom
Formation energy from the elements ... 0.7 eV per formula unit